Record 1
Density functional theory data (PBE-GGA) for crystalline Tm3Mg2Al at its relaxed geometry.

a b c (Å): 3.626 3.626 11.432
angles (deg): 90.00 90.00 90.00
Space group P4/mmm (No. 123)
Asymmetric unit:
Tm1 0.000 0.000 0.000 [1 per cell]
Tm2 0.000 0.000 0.347 [2 per cell]
Mg1 0.500 0.500 0.172 [2 per cell]
Al1 0.500 0.500 0.500 [1 per cell]

Calculated values
Energy of formation from the pure elements ... -17.1 kJ per mole of atoms
Size of the total moment ... 0.00 μB per formula unit
E_tot ... -3.569 eV/atom
ΔE to the lowest computed polymorph ... 0.97 kJ/mol of atoms

***

Record 2
Density functional theory data (PBE-GGA) for crystalline PaSnPb at its relaxed geometry.

a b c (Å): 3.237 3.237 15.858
angles (deg): 90.00 90.00 90.00
Space group I4mm (No. 107)
Asymmetric unit:
Pa1 0.000 0.000 0.000 [2 per cell]
Sn1 0.000 0.000 0.349 [2 per cell]
Pb1 0.000 0.000 0.665 [2 per cell]

Calculated values
Energy of formation from the pure elements ... 9.0 kJ per mole of atoms
Size of the total moment ... 0.82 μB per formula unit
E_tot ... -5.642 eV/atom
ΔE to the lowest computed polymorph ... 0.00 kJ/mol of atoms

***

Record 3
Density functional theory data (PBE-GGA) for crystalline LiCa2SnHg4 at its relaxed geometry.

a b c (Å): 5.1735 5.1735 25.4471
angles (deg): 90.00 90.00 120.00
Space group R-3m (No. 166, hexagonal axes)
Asymmetric unit:
Li1 0.0000 0.0000 0.0000 [3 per cell]
Ca1 0.0000 0.0000 0.2435 [6 per cell]
Sn1 0.0000 0.0000 0.5000 [3 per cell]
Hg1 0.0000 0.0000 0.1132 [6 per cell]
Hg2 0.0000 0.0000 0.3660 [6 per cell]

Calculated values
Energy of formation from the pure elements ... -41.4 kJ per mole of atoms
Size of the total moment ... 0.00 μB per formula unit
E_tot ... -1.820 eV/atom